[1]
The following is a PBE-GGA calculation of an optimized crystal structure of CaMg2Ir, from Alexandria. Values from VASP.

```
&SYSTEM
  ibrav = 0, nat = 4, ntyp = 3
/
ATOMIC_SPECIES
Ca 40.08 Ca.upf
Ir 192.22 Ir.upf
Mg 24.30 Mg.upf
CELL_PARAMETERS angstrom
3.358 0.000 0.000
0.000 3.410 -0.003
0.000 3.425 7.626
ATOMIC_POSITIONS angstrom
Ca 0.000 3.416 4.216
Ir 1.679 5.128 6.062
Mg 0.000 3.426 7.261
Mg 1.679 1.707 1.520
```

SG: Pmm2, No. 25
V: 21.84 Å³/atom
Formation energy from the elements: -0.194 eV per atom

---

[2]
The following is a PBE-GGA calculation of an optimized crystal structure of Pm2InAu2, from Alexandria. Values from VASP.

```
&SYSTEM
  ibrav = 0, nat = 10, ntyp = 3
/
ATOMIC_SPECIES
Pm 145.00 Pm.upf
In 114.82 In.upf
Au 196.97 Au.upf
CELL_PARAMETERS angstrom
3.900 0.000 0.000
0.000 8.058 0.000
0.000 0.000 8.058
ATOMIC_POSITIONS angstrom
Pm 1.950 1.385 5.414
Pm 1.950 5.414 6.673
Pm 1.950 6.673 2.644
Pm 1.950 2.644 1.385
In 0.000 0.000 0.000
In 0.000 4.029 4.029
Au 0.000 3.000 7.029
Au 0.000 7.029 5.058
Au 0.000 5.058 1.029
Au 0.000 1.029 3.000
```

SG: P4/mbm, No. 127
V: 25.32 Å³/atom
Formation energy from the elements: -0.779 eV per atom

---

[3]
The following is a PBE-GGA calculation of an optimized crystal structure of Tl2Cd2O5, from Alexandria. Values from VASP.

```
&SYSTEM
  ibrav = 0, nat = 9, ntyp = 3
/
ATOMIC_SPECIES
Tl 204.38 Tl.upf
Cd 112.41 Cd.upf
O 16.00 O.upf
CELL_PARAMETERS angstrom
-0.544 -0.277 3.706
-2.859 -2.040 1.331
6.099 -10.701 2.000
ATOMIC_POSITIONS angstrom
Tl 3.535 -11.838 5.345
Tl 0.934 -5.940 3.500
Cd 3.971 -7.779 1.906
Cd -2.049 -4.174 5.097
O 6.043 -10.623 1.997
O 2.171 -7.638 3.555
O -1.101 -3.147 3.410
O 2.261 -10.090 5.289
O -0.654 -6.088 5.159
```

SG: R3m, No. 160
V: 16.68 Å³/atom
Uncorrected formation energy: -6.776 eV/f.u.

---

[4]
The following is a PBE-GGA calculation of an optimized crystal structure of Zr2TcOs, from Alexandria. Values from VASP.

```
&SYSTEM
  ibrav = 0, nat = 4, ntyp = 3
/
ATOMIC_SPECIES
Os 190.23 Os.upf
Tc 98.00 Tc.upf
Zr 91.22 Zr.upf
CELL_PARAMETERS angstrom
-1.145 2.919 -3.389
-4.408 1.241 -0.586
-1.341 4.300 1.012
ATOMIC_POSITIONS angstrom
Os -3.447 4.230 -1.481
Tc -5.171 6.345 -2.222
Zr 0.000 0.000 0.000
Zr -1.724 2.115 -0.741
```

SG: F-43m, No. 216
V: 17.39 Å³/atom
Formation energy from the elements: -0.120 eV per atom

---

[5]
The following is a PBE-GGA calculation of an optimized crystal structure of Nd3Mn5Se12, from Alexandria. Values from VASP.

```
&SYSTEM
  ibrav = 0, nat = 80, ntyp = 3
/
ATOMIC_SPECIES
Nd 144.24 Nd.upf
Mn 54.94 Mn.upf
Se 78.96 Se.upf
CELL_PARAMETERS angstrom
-6.336 -0.797 -12.213
5.268 -12.312 3.254
-9.078 3.807 9.645
ATOMIC_POSITIONS angstrom
Nd -3.911 -4.739 -6.734
Nd -2.727 -9.455 -7.040
Nd -4.098 -7.154 3.889
Nd -4.330 -0.311 0.970
Nd -7.155 -1.284 -7.868
Nd -1.353 -7.042 -0.135
Nd -8.793 -2.260 0.821
Nd -2.991 -8.018 8.554
Nd -5.816 -8.991 -0.284
Nd -6.047 -2.148 -3.203
Nd -7.418 0.153 7.726
Nd -6.234 -4.563 7.420
Mn -1.086 -3.765 2.105
Mn 2.634 -6.156 1.627
Mn 0.000 0.000 0.000
Mn -2.194 -2.901 -2.561
Mn -7.707 1.505 -1.284
Mn -0.534 -6.554 -4.479
Mn -0.245 -7.906 4.531
Mn -12.037 1.194 -0.313
Mn -4.863 -6.865 -3.509
Mn -8.526 1.017 3.061
Mn -1.620 -10.319 -2.375
Mn -5.073 -4.651 0.343
Mn -3.168 -0.398 -6.106
Mn -4.539 1.903 4.823
Mn -5.282 -2.437 4.195
Mn 1.891 -10.496 1.000
Mn -1.905 -4.253 6.449
Mn -9.900 -1.396 -3.844
Mn -7.952 -6.401 3.247
Mn -9.060 -5.537 -1.419
Se -4.099 -1.926 -7.929
Se -2.988 -5.219 1.704
Se -6.829 -4.327 -7.765
Se -3.366 -2.483 -4.645
Se -6.119 -6.570 1.664
Se -4.627 -7.376 -8.243
Se -1.640 -8.472 2.626
Se 3.161 -10.887 3.031
Se -4.755 -9.850 2.457
Se -2.972 -7.092 -5.014
Se -6.012 -4.980 -4.519
Se -0.703 -11.743 -6.832
Se -1.855 -6.753 5.935
Se -1.018 -5.024 -2.493
Se 0.806 -9.819 5.593
Se -7.360 0.440 1.011
Se -1.470 -1.443 1.509
Se -0.246 -8.341 -2.677
Se -3.087 -10.803 -4.247
Se 0.608 -4.866 0.759
Se -4.517 -9.223 6.189
Se -4.246 -6.522 -1.186
Se -6.223 -8.867 -3.317
Se -11.638 -1.151 0.172
Se -5.899 -2.780 1.873
Se -3.922 -0.435 4.003
Se 1.493 -8.151 0.514
Se -7.058 1.501 4.933
Se -5.629 -0.079 -5.503
Se -10.753 -4.436 -0.073
Se -9.900 -0.961 3.364
Se -2.785 -9.742 -0.325
Se -8.675 -7.859 -0.823
Se -10.952 0.517 -4.907
Se -8.290 -2.549 -5.248
Se -9.442 2.441 7.518
Se -9.128 -4.279 3.180
Se -5.390 0.548 -1.771
Se -7.173 -2.210 5.700
Se -4.134 -4.322 5.205
Se -13.307 1.585 -2.345
Se -8.506 -0.830 -1.940
Se -6.779 -6.819 5.331
Se -5.519 -1.926 8.930
Se -4.026 -2.732 -0.977
Se -3.316 -4.975 8.452
Se -7.158 -4.083 -1.018
Se -6.046 -7.376 8.615
```

SG: Ia-3d, No. 230
V: 25.19 Å³/atom
Uncorrected formation energy: -18.519 eV/f.u.

---

[6]
The following is a PBE-GGA calculation of an optimized crystal structure of Ac2DyRu, from Alexandria. Values from VASP.

```
&SYSTEM
  ibrav = 0, nat = 4, ntyp = 3
/
ATOMIC_SPECIES
Ru 101.07 Ru.upf
Ac 227.00 Ac.upf
Dy 162.50 Dy.upf
CELL_PARAMETERS angstrom
-5.484 0.764 0.055
-3.142 -2.744 3.642
-2.380 2.681 4.176
ATOMIC_POSITIONS angstrom
Ru 0.000 0.000 0.000
Ac -2.750 0.183 1.975
Ac -8.256 0.518 5.897
Dy -5.503 0.351 3.936
```

SG: R-3m, No. 166
V: 29.74 Å³/atom
Formation energy from the elements: 0.318 eV per atom